Entry 1:
This record from Alexandria via LeMat-Bulk describes a geometry-optimized Hf2CoPtC structure. The functional is PBE.

Cell lengths 4.519, 4.519, 3.681 Å; angles 90.00, 90.00, 90.00 degrees
Sites, in units of the cell vectors:
Hf 0.000 0.500 0.000
Hf 0.500 0.000 0.000
Co 0.000 0.000 0.500
Pt 0.500 0.500 0.500
C 0.000 0.000 0.000

Symmetry: P4/mmm
Crystal system: tetragonal
E: -45.7 eV per cell
Energy of formation from the pure elements: -0.676 eV/atom

Entry 2:
This record from Alexandria via LeMat-Bulk describes a geometry-optimized SrMn2Tl structure. The functional is PBE.

Cell lengths 7.324, 7.324, 7.324 Å; angles 90.00, 90.00, 90.00 degrees
Sites, in units of the cell vectors:
Sr 0.000 0.000 0.000
Sr 0.000 0.500 0.500
Sr 0.500 0.000 0.500
Sr 0.500 0.500 0.000
Mn 0.000 0.000 0.500
Mn 0.000 0.500 0.000
Mn 0.250 0.250 0.750
Mn 0.250 0.750 0.250
Mn 0.500 0.000 0.000
Mn 0.500 0.500 0.500
Mn 0.750 0.250 0.250
Mn 0.750 0.750 0.750
Tl 0.250 0.250 0.250
Tl 0.250 0.750 0.750
Tl 0.750 0.250 0.750
Tl 0.750 0.750 0.250

Symmetry: F-43m
Crystal system: cubic
E: -81.3 eV per cell
Energy of formation from the pure elements: 0.518 eV/atom

Entry 3:
This record from Alexandria via LeMat-Bulk describes a geometry-optimized V4C structure. The functional is PBE.

Cell lengths 6.730, 6.730, 2.609 Å; angles 90.00, 90.00, 90.00 degrees
Sites, in units of the cell vectors:
V 0.048 0.740 0.000
V 0.240 0.452 0.500
V 0.260 0.048 0.000
V 0.452 0.760 0.500
V 0.548 0.240 0.500
V 0.740 0.952 0.000
V 0.760 0.548 0.500
V 0.952 0.260 0.000
C 0.000 0.000 0.500
C 0.500 0.500 0.000

Symmetry: I4/m
Crystal system: tetragonal
E: -90.2 eV per cell
Energy of formation from the pure elements: 0.121 eV/atom

Q: Which of these has the lowest E?
A: V4C